Record 1
Compound: LaSc
Source: Alexandria
Functional: PBE
Structure: optimized geometry

The structure belongs to space group P-6m2 (No. 187); the cell edges are 3.4950, 3.4950 and 17.0665 Å and the angles 90.00°, 90.00° and 120.00°. The distinct sites, in fractional coordinates, are La at (0.0000, 0.0000, 0.0000), La at (0.3333, 0.6667, 0.1886), Sc at (0.0000, 0.0000, 0.3540) and Sc at (0.3333, 0.6667, 0.5000).

As for the total energy: -0.2042 Ha/atom. As for the volume: 60 Å³/f.u. For the total magnetization, the calculation gives 0.00 Bohr magnetons per cell.

Record 2
Compound: LaSc
Source: Alexandria
Functional: PBE
Structure: optimized geometry

The structure belongs to space group I-43m (No. 217); the cell edges are 9.502, 9.502 and 9.502 Å and the angles 90.00°, 90.00° and 90.00°. The distinct sites, in fractional coordinates, are La at (0.211, 0.211, 0.789) and Sc at (0.108, 0.108, 0.108).

As for the total energy: -0.1609 Ha/atom. As for the volume: 107 Å³/f.u. For the total magnetization, the calculation gives 11.78 Bohr magnetons per cell.

Record 3
Compound: LaSc
Source: Alexandria
Functional: PBE
Structure: optimized geometry

The structure belongs to space group Imm2 (No. 44); the cell edges are 3.493, 15.128 and 7.062 Å and the angles 90.00°, 90.00° and 90.00°. The distinct sites, in fractional coordinates, are La at (0.000, 0.000, 0.000), La at (0.000, 0.311, 0.281), Sc at (0.000, 0.000, 0.575) and Sc at (0.000, 0.385, 0.803).

As for the total energy: -0.2008 Ha/atom. As for the volume: 62 Å³/f.u. For the total magnetization, the calculation gives 0.00 Bohr magnetons per cell.

Record 4
Compound: LaSc4
Source: Alexandria
Functional: PBE
Structure: optimized geometry

The structure belongs to space group I4/m (No. 87); the cell edges are 7.463, 7.463 and 4.786 Å and the angles 90.00°, 90.00° and 90.00°. The distinct sites, in fractional coordinates, are La at (0.000, 0.000, 0.000) and Sc at (0.097, 0.697, 0.500).

As for the total energy: -0.2195 Ha/atom. As for the volume: 133 Å³/f.u. For the total magnetization, the calculation gives 0.00 Bohr magnetons per cell.

Record 5
Compound: LaSc3
Source: Alexandria
Functional: PBE
Structure: optimized geometry

The structure belongs to space group P4/mmm (No. 123); the cell edges are 3.804, 3.804 and 7.640 Å and the angles 90.00°, 90.00° and 90.00°. The distinct sites, in fractional coordinates, are La at (0.000, 0.000, 0.000), Sc at (0.000, 0.000, 0.500) and Sc at (0.500, 0.500, 0.283).

As for the total energy: -0.2172 Ha/atom. As for the volume: 111 Å³/f.u. For the total magnetization, the calculation gives 0.00 Bohr magnetons per cell.

Record 6
Compound: LaSc3
Source: Alexandria
Functional: PBE
Structure: optimized geometry

The structure belongs to space group R-3m (No. 166, hexagonal axes); the cell edges are 6.8170, 6.8170 and 24.5700 Å and the angles 90.00°, 90.00° and 120.00°. The distinct sites, in fractional coordinates, are La at (0.0000, 0.0000, 0.0000), La at (0.0000, 0.0000, 0.2202), Sc at (0.0000, 0.5000, 0.0000) and Sc at (0.0096, 0.5048, 0.2227).

As for the total energy: -0.2174 Ha/atom. As for the volume: 110 Å³/f.u. For the total magnetization, the calculation gives 0.00 Bohr magnetons per cell.

Record 7
Compound: LaSc3
Source: Alexandria
Functional: PBE
Structure: optimized geometry

The structure belongs to space group Fm-3m (No. 225); the cell edges are 7.594, 7.594 and 7.594 Å and the angles 90.00°, 90.00° and 90.00°. The distinct sites, in fractional coordinates, are La at (0.000, 0.000, 0.000), Sc at (0.000, 0.000, 0.500) and Sc at (0.250, 0.250, 0.250).

As for the total energy: -0.2161 Ha/atom. As for the volume: 110 Å³/f.u. For the total magnetization, the calculation gives 0.00 Bohr magnetons per cell.

Record 8
Compound: LaSc
Source: Alexandria
Functional: PBE
Structure: optimized geometry

The structure belongs to space group Cmcm (No. 63); the cell edges are 3.459, 13.185 and 5.414 Å and the angles 90.00°, 90.00° and 90.00°. The distinct sites, in fractional coordinates, are La at (0.000, 0.168, 0.250) and Sc at (0.000, 0.440, 0.250).

As for the total energy: -0.2046 Ha/atom. As for the volume: 62 Å³/f.u. For the total magnetization, the calculation gives 0.00 Bohr magnetons per cell.

Record 9
Compound: LaSc
Source: Alexandria
Functional: PBE
Structure: optimized geometry

The structure belongs to space group I4_1/amd (No. 141, origin choice 2); the cell edges are 4.892, 4.892 and 10.086 Å and the angles 90.00°, 90.00° and 90.00°. The distinct sites, in fractional coordinates, are La at (0.000, 0.250, 0.375) and Sc at (0.000, 0.250, 0.875).

As for the total energy: -0.2034 Ha/atom. As for the volume: 60 Å³/f.u. For the total magnetization, the calculation gives 0.00 Bohr magnetons per cell.

Record 10
Compound: LaSc
Source: Alexandria
Functional: PBE
Structure: optimized geometry

The structure belongs to space group Fd-3m (No. 227, origin choice 2); the cell edges are 7.893, 7.893 and 7.893 Å and the angles 90.00°, 90.00° and 90.00°. The distinct sites, in fractional coordinates, are La at (0.125, 0.125, 0.125) and Sc at (0.125, 0.125, 0.625).

As for the total energy: -0.2001 Ha/atom. As for the volume: 61 Å³/f.u. For the total magnetization, the calculation gives 0.05 Bohr magnetons per cell.

Record 11
Compound: LaSc
Source: Alexandria
Functional: PBE
Structure: optimized geometry

The structure belongs to space group F-43m (No. 216); the cell edges are 6.359, 6.359 and 6.359 Å and the angles 90.00°, 90.00° and 90.00°. The distinct sites, in fractional coordinates, are La at (0.000, 0.000, 0.000) and Sc at (0.250, 0.250, 0.250).

As for the total energy: -0.1467 Ha/atom. As for the volume: 64 Å³/f.u. For the total magnetization, the calculation gives 0.04 Bohr magnetons per cell.

Record 12
Compound: LaSc
Source: Alexandria
Functional: PBE
Structure: optimized geometry

The structure belongs to space group P4/m (No. 83); the cell edges are 12.309, 12.309 and 3.310 Å and the angles 90.00°, 90.00° and 90.00°. The distinct sites, in fractional coordinates, are La at (0.105, 0.175, 0.000), La at (0.332, 0.622, 0.500), Sc at (0.086, 0.652, 0.000) and Sc at (0.118, 0.435, 0.500).

As for the total energy: -0.1983 Ha/atom. As for the volume: 63 Å³/f.u. For the total magnetization, the calculation gives 0.00 Bohr magnetons per cell.

Q: total magnetization of number 6 (LaSc3)?
A: 0.00 Bohr magnetons per cell

Q: What is the total magnetization in the first record?
A: 0.00 Bohr magnetons per cell